Entry 1:
! GGA-PBE Rb2SnCl3, relaxed; values from VASP
&SYSTEM
  ibrav = 0, nat = 12, ntyp = 3
/
ATOMIC_SPECIES
Rb 85.47 Rb.upf
Sn 118.71 Sn.upf
Cl 35.45 Cl.upf
CELL_PARAMETERS angstrom
6.5585 0.0000 0.0000
0.0000 9.9154 -0.2283
-3.2793 -2.6320 6.5383
ATOMIC_POSITIONS crystal
Rb 0.6698 0.5932 0.3392
Rb 0.6694 0.0932 0.3392
Rb 0.3306 0.9068 0.6608
Rb 0.3302 0.4068 0.6608
Sn 0.9999 0.7500 0.0000
Sn 0.0001 0.2500 0.0000
Cl 0.4992 0.2500 0.0000
Cl 0.5008 0.7500 0.0000
Cl 0.1470 0.0520 0.2943
Cl 0.8526 0.4480 0.7057
Cl 0.1474 0.5520 0.2943
Cl 0.8530 0.9480 0.7057
! E_form (uncorrected): -1.306 eV/atom
! Spin magnetization: 0.1348 μB/atom
! D(E_F): 2.1 states/eV per cell
! Space group: C2/c, No. 15



Entry 2:
! GGA-PBE Ta2TcBr, relaxed; values from VASP
&SYSTEM
  ibrav = 0, nat = 4, ntyp = 3
/
ATOMIC_SPECIES
Tc 98.00 Tc.upf
Br 79.90 Br.upf
Ta 180.95 Ta.upf
CELL_PARAMETERS angstrom
3.1914 0.0000 0.0000
0.0000 3.2074 0.2533
0.0000 2.5738 8.0290
ATOMIC_POSITIONS crystal
Tc 0.0000 0.6897 0.4377
Br 0.5000 0.3616 0.7597
Ta 0.0000 0.0873 0.0378
Ta 0.5000 0.3614 0.2648
! E_form (uncorrected): 0.133 eV/atom
! Polymorph energy (0 for the lowest one): 0.070 eV/atom
! Spin magnetization: 0.0000 μB/atom
! D(E_F): 2.5 states/eV per cell
! Space group: Pm, No. 6